1.
The following is a DFT calculation (GGA-PBE) of an optimized crystal structure of YAsAu2.

Lattice parameters (Å, degrees): 4.008 4.008 5.702 90.00 90.00 90.00
Space group P4mm (No. 99)
Inequivalent atoms, fractional coordinates:
Y  0.000  0.000  0.000 (multiplicity 1)
As  0.500  0.500  0.008 (multiplicity 1)
Au  0.000  0.000  0.501 (multiplicity 1)
Au  0.500  0.500  0.508 (multiplicity 1)

Values from the calculation:
Uncorrected energy, hartree per atom: -0.1821

2.
The following is a DFT calculation (GGA-PBE) of an optimized crystal structure of YAs3Au.

Lattice parameters (Å, degrees): 5.379 5.379 5.379 90.00 90.00 90.00
Space group Pm-3m (No. 221)
Inequivalent atoms, fractional coordinates:
Y  0.000  0.000  0.000 (multiplicity 1)
As  0.000  0.000  0.500 (multiplicity 3)
Au  0.500  0.500  0.500 (multiplicity 1)

Values from the calculation:
Uncorrected energy, hartree per atom: -0.1495

3.
The following is a DFT calculation (GGA-PBE) of an optimized crystal structure of YAs2Au.

Lattice parameters (Å, degrees): 3.915 3.912 5.757 90.00 91.41 90.00
Space group Pm (No. 6)
Inequivalent atoms, fractional coordinates:
Y  0.000  0.000  0.000 (multiplicity 1)
As  0.013  0.000  0.488 (multiplicity 1)
As  0.495  0.500  0.874 (multiplicity 1)
Au  0.512  0.500  0.381 (multiplicity 1)

Values from the calculation:
Uncorrected energy, hartree per atom: -0.1965

4.
The following is a DFT calculation (GGA-PBE) of an optimized crystal structure of Y2AsAu.

Lattice parameters (Å, degrees): 7.583 7.583 7.506 90.00 90.00 90.00
Space group I-42d (No. 122)
Inequivalent atoms, fractional coordinates:
Y  0.243  0.750  0.125 (multiplicity 8)
As  0.000  0.000  0.000 (multiplicity 4)
Au  0.000  0.000  0.500 (multiplicity 4)

Values from the calculation:
Uncorrected energy, hartree per atom: -0.2209

5.
The following is a DFT calculation (GGA-PBE) of an optimized crystal structure of Y2AsAu.

Lattice parameters (Å, degrees): 4.164 4.164 5.933 90.00 90.00 90.00
Space group P4/mmm (No. 123)
Inequivalent atoms, fractional coordinates:
Y  0.000  0.000  0.000 (multiplicity 1)
Y  0.500  0.500  0.500 (multiplicity 1)
As  0.000  0.000  0.500 (multiplicity 1)
Au  0.500  0.500  0.000 (multiplicity 1)

Values from the calculation:
Uncorrected energy, hartree per atom: -0.2292

6.
The following is a DFT calculation (GGA-PBE) of an optimized crystal structure of YAsAu2.

Lattice parameters (Å, degrees): 4.6664 4.6664 13.8113 90.00 90.00 120.00
Space group R3m (No. 160, hexagonal axes)
Inequivalent atoms, fractional coordinates:
Y  0.0000  0.0000  0.0000 (multiplicity 3)
As  0.0000  0.0000  0.7916 (multiplicity 3)
Au  0.0000  0.0000  0.2318 (multiplicity 3)
Au  0.0000  0.0000  0.4430 (multiplicity 3)

Values from the calculation:
Uncorrected energy, hartree per atom: -0.1864

7.
The following is a DFT calculation (GGA-PBE) of an optimized crystal structure of YAsAu.

Lattice parameters (Å, degrees): 6.636 6.636 6.636 90.00 90.00 90.00
Space group F-43m (No. 216)
Inequivalent atoms, fractional coordinates:
Y  0.000  0.000  0.000 (multiplicity 4)
As  0.000  0.000  0.500 (multiplicity 4)
Au  0.250  0.250  0.750 (multiplicity 4)

Values from the calculation:
Uncorrected energy, hartree per atom: -0.2010

8.
The following is a DFT calculation (GGA-PBE) of an optimized crystal structure of YAsAu.

Lattice parameters (Å, degrees): 4.3286 4.3286 4.0807 90.00 90.00 120.00
Space group P3m1 (No. 156)
Inequivalent atoms, fractional coordinates:
Y  0.0000  0.0000  0.0000 (multiplicity 1)
As  0.6667  0.3333  0.4121 (multiplicity 1)
Au  0.3333  0.6667  0.5796 (multiplicity 1)

Values from the calculation:
Uncorrected energy, hartree per atom: -0.2080

9.
The following is a DFT calculation (GGA-PBE) of an optimized crystal structure of YAs4Au.

Lattice parameters (Å, degrees): 7.919 7.919 7.919 90.00 90.00 90.00
Space group F-43m (No. 216)
Inequivalent atoms, fractional coordinates:
Y  0.000  0.000  0.000 (multiplicity 4)
As  0.123  0.123  0.623 (multiplicity 16)
Au  0.250  0.250  0.250 (multiplicity 4)

Values from the calculation:
Uncorrected energy, hartree per atom: -0.1778

10.
The following is a DFT calculation (GGA-PBE) of an optimized crystal structure of YAsAu2.

Lattice parameters (Å, degrees): 4.166 4.166 9.490 90.00 90.00 90.00
Space group I4/mmm (No. 139)
Inequivalent atoms, fractional coordinates:
Y  0.000  0.000  0.000 (multiplicity 2)
As  0.000  0.000  0.500 (multiplicity 2)
Au  0.000  0.500  0.250 (multiplicity 4)

Values from the calculation:
Uncorrected energy, hartree per atom: -0.1868

11.
The following is a DFT calculation (GGA-PBE) of an optimized crystal structure of Y2AsAu2.

Lattice parameters (Å, degrees): 5.184 5.184 9.990 90.00 90.00 90.00
Space group I4/mmm (No. 139)
Inequivalent atoms, fractional coordinates:
Y  0.000  0.500  0.250 (multiplicity 4)
As  0.000  0.000  0.000 (multiplicity 2)
Au  0.000  0.000  0.370 (multiplicity 4)

Values from the calculation:
Uncorrected energy, hartree per atom: -0.1932

12.
The following is a DFT calculation (GGA-PBE) of an optimized crystal structure of YAs2Au.

Lattice parameters (Å, degrees): 4.586 4.586 3.865 90.00 90.00 90.00
Space group P4/mmm (No. 123)
Inequivalent atoms, fractional coordinates:
Y  0.000  0.000  0.000 (multiplicity 1)
As  0.000  0.500  0.500 (multiplicity 2)
Au  0.500  0.500  0.000 (multiplicity 1)

Values from the calculation:
Uncorrected energy, hartree per atom: -0.1978

13.
The following is a DFT calculation (GGA-PBE) of an optimized crystal structure of YAsAu3.

Lattice parameters (Å, degrees): 4.928 4.928 4.928 90.00 90.00 90.00
Space group Pm-3m (No. 221)
Inequivalent atoms, fractional coordinates:
Y  0.000  0.000  0.000 (multiplicity 1)
As  0.500  0.500  0.500 (multiplicity 1)
Au  0.000  0.500  0.500 (multiplicity 3)

Values from the calculation:
Uncorrected energy, hartree per atom: -0.1554

14.
The following is a DFT calculation (GGA-PBE) of an optimized crystal structure of YAs3Au.

Lattice parameters (Å, degrees): 5.022 5.022 5.022 90.00 90.00 90.00
Space group Pm-3m (No. 221)
Inequivalent atoms, fractional coordinates:
Y  0.000  0.000  0.000 (multiplicity 1)
As  0.000  0.500  0.500 (multiplicity 3)
Au  0.500  0.500  0.500 (multiplicity 1)

Values from the calculation:
Uncorrected energy, hartree per atom: -0.1676

15.
The following is a DFT calculation (GGA-PBE) of an optimized crystal structure of YAs2Au.

Lattice parameters (Å, degrees): 6.985 6.985 6.985 90.00 90.00 90.00
Space group F-43m (No. 216)
Inequivalent atoms, fractional coordinates:
Y  0.000  0.000  0.000 (multiplicity 4)
As  0.000  0.000  0.500 (multiplicity 4)
As  0.250  0.250  0.250 (multiplicity 4)
Au  0.250  0.250  0.750 (multiplicity 4)

Values from the calculation:
Uncorrected energy, hartree per atom: -0.1884